No. 1
Crystalline Er4TlAsSe2 at its relaxed geometry. Source: the Alexandria database, functional PBE.

Output
ΔE_f (raw), eV per atom: -1.282
DOS(E_F), states/eV/f.u.: 3.260

```
data_Er4TlAsSe2
_chemical_formula_sum 'Er4 Tl1 As1 Se2'
_cell_length_a 7.220
_cell_length_b 4.052
_cell_length_c 7.258
_cell_angle_alpha 90.00
_cell_angle_beta 108.69
_cell_angle_gamma 90.00
_symmetry_space_group_name_H-M 'P 1'
_symmetry_Int_Tables_number 1
loop_
_symmetry_equiv_pos_as_xyz
'x,y,z'
loop_
_atom_site_label
_atom_site_type_symbol
_atom_site_fract_x
_atom_site_fract_y
_atom_site_fract_z
Er1 Er 0.242 0.000 0.241
Er2 Er 0.255 0.500 0.761
Er3 Er 0.745 0.500 0.239
Er4 Er 0.758 0.000 0.759
Tl1 Tl 0.000 0.000 0.500
As1 As 0.000 0.500 0.000
Se1 Se 0.500 0.000 0.000
Se2 Se 0.500 0.500 0.500
```

No. 2
Crystalline Sm4Zn2Cu at its relaxed geometry. Source: the Alexandria database, functional PBE.

Output
Formation energy from the elements, kJ per mole of atoms: -13.1
DOS(E_F), states/eV/f.u.: 8.855

```
data_Sm4Zn2Cu
_chemical_formula_sum 'Sm4 Zn2 Cu1'
_cell_length_a 6.208
_cell_length_b 6.208
_cell_length_c 6.208
_cell_angle_alpha 109.59
_cell_angle_beta 109.59
_cell_angle_gamma 109.23
_symmetry_space_group_name_H-M 'P 1'
_symmetry_Int_Tables_number 1
loop_
_symmetry_equiv_pos_as_xyz
'x,y,z'
loop_
_atom_site_label
_atom_site_type_symbol
_atom_site_fract_x
_atom_site_fract_y
_atom_site_fract_z
Sm1 Sm 0.000 0.000 0.500
Sm2 Sm 0.000 0.500 0.000
Sm3 Sm 0.500 0.000 0.000
Sm4 Sm 0.500 0.500 0.500
Zn1 Zn 0.000 0.500 0.500
Zn2 Zn 0.500 0.000 0.500
Cu1 Cu 0.000 0.000 0.000
```

The highest DOS(E_F) belongs to which entry? Sm4Zn2Cu